The following is a DFT calculation (GGA+U) of crystalline Li2NiP2O7 at its relaxed geometry.

Energy above the lowest structure with this stoichiometry, meV per atom: 6.4
Total magnetic moment, μB/cell: 3.921

Unit cell a=5.141 b=7.223 c=8.196 alpha=65.86 beta=85.77 gamma=81.29
Space group P-1 (No. 2)
One atom of each set of equivalent atoms:
Li 0.204 0.318 0.058 (multiplicity 2)
Li 0.206 0.366 0.496 (multiplicity 2)
Ni 0.317 0.766 0.226 (multiplicity 2)
P 0.235 0.956 0.806 (multiplicity 2)
P 0.269 0.641 0.672 (multiplicity 2)
O 0.063 0.031 0.157 (multiplicity 2)
O 0.083 0.545 0.826 (multiplicity 2)
O 0.164 0.661 0.492 (multiplicity 2)
O 0.287 0.874 0.647 (multiplicity 2)
O 0.336 0.166 0.723 (multiplicity 2)
O 0.399 0.803 0.966 (multiplicity 2)
O 0.445 0.463 0.298 (multiplicity 2)